Record 1
VASP calculation (GGA-PBE) on a relaxed structure of Cu2NiTe.

a = 4.370 Å, b = 4.370 Å, c = 4.370 Å
α = 60.00°, β = 60.00°, γ = 60.00°
Atoms (fractional coordinates):
1 Cu 0.750 0.750 0.750
2 Cu 0.000 0.000 0.000
3 Ni 0.250 0.250 0.250
4 Te 0.500 0.500 0.500

As for the calculated total energy: -0.1417 hartree per atom.

Record 2
VASP calculation (GGA-PBE) on a relaxed structure of CuNiTe.

a = 4.151 Å, b = 4.151 Å, c = 4.151 Å
α = 60.00°, β = 60.00°, γ = 60.00°
Atoms (fractional coordinates):
1 Cu 0.250 0.250 0.250
2 Te 0.750 0.750 0.750
3 Ni 0.000 0.000 0.000

As for the calculated total energy: -0.1555 hartree per atom.

Record 3
VASP calculation (GGA-PBE) on a relaxed structure of ZnCuNiTe3.

a = 7.393 Å, b = 3.843 Å, c = 10.059 Å
α = 90.00°, β = 106.12°, γ = 90.00°
Atoms (fractional coordinates):
1 Te 0.564 0.750 0.815
2 Te 0.436 0.250 0.185
3 Te 0.265 0.250 0.492
4 Te 0.735 0.750 0.508
5 Te 0.968 0.750 0.159
6 Te 0.032 0.250 0.841
7 Cu 0.401 0.250 0.918
8 Cu 0.599 0.750 0.082
9 Zn 0.186 0.750 0.708
10 Zn 0.814 0.250 0.292
11 Ni 0.967 0.250 0.576
12 Ni 0.033 0.750 0.424

As for the calculated total energy: -0.1273 hartree per atom.